# 1
Here is crystalline PrHgSbPb at its relaxed geometry from Alexandria. Energies are from PBE-GGA. Values from VASP.

Values from the calculation:
DOS(E_F) (states/eV/f.u.): 3.07
E (eV per atom): -3.62
Crystal system: cubic

The structure in Quantum ESPRESSO input format:
```
&SYSTEM
  ibrav = 0, nat = 4, ntyp = 4
/
ATOMIC_SPECIES
Pr 140.91 Pr.upf
Hg 200.59 Hg.upf
Sb 121.76 Sb.upf
Pb 207.20 Pb.upf
CELL_PARAMETERS angstrom
0.000 3.879 3.879
3.879 0.000 3.879
3.879 3.879 0.000
ATOMIC_POSITIONS angstrom
Pr 0.000 0.000 0.000
Hg 1.940 1.940 1.940
Sb 5.819 5.819 5.819
Pb 3.879 3.879 3.879
```



# 2
Here is crystalline Zn2CrW at its relaxed geometry from Alexandria. Energies are from PBE-GGA. Values from VASP.

Values from the calculation:
DOS(E_F) (states/eV/f.u.): 2.48
E (eV per atom): -6.01
Crystal system: tetragonal

The structure in Quantum ESPRESSO input format:
```
&SYSTEM
  ibrav = 0, nat = 4, ntyp = 3
/
ATOMIC_SPECIES
Zn 65.41 Zn.upf
Cr 52.00 Cr.upf
W 183.84 W.upf
CELL_PARAMETERS angstrom
-1.818 1.818 4.208
1.818 -1.818 4.208
1.818 1.818 -4.208
ATOMIC_POSITIONS angstrom
Zn 1.818 0.000 2.104
Zn 0.000 1.818 2.104
Cr 0.000 0.000 0.000
W 0.000 0.000 4.208
```